No. 1
{
  "formula": "YMg2P",
  "functional": "PBE",
  "state": "relaxed",
  "delta_e_f_kj_per_mol_fu": -171,
  "volume_a3_per_atom": 21.29,
  "lattice_angstrom": [[4.1371, 0.0000, 0.0000], [0.0000, 4.1371, 0.0000], [0.0000, 0.0000, 4.9756]],
  "species": ["P", "Mg", "Mg", "Y"],
  "fractional_positions": [[0.5000, 0.0000, 0.5000], [0.0000, 0.0000, 0.0000], [0.5000, 0.5000, 0.0000], [0.0000, 0.5000, 0.5000]]
}

No. 2
{
  "formula": "Ca2In3Hg",
  "functional": "PBE",
  "state": "relaxed",
  "delta_e_f_kj_per_mol_fu": -240,
  "volume_a3_per_atom": 26.89,
  "lattice_angstrom": [[-2.0741, -0.3142, -3.0156], [3.1573, -3.4918, -1.8077], [-4.6834, -6.2389, 3.8711]],
  "species": ["In", "In", "In", "Ca", "Ca", "Hg"],
  "fractional_positions": [[0.5000, 0.5000, 0.6636], [0.5000, 0.0000, 0.8337], [0.5000, 0.0000, 0.1696], [0.0000, 0.5000, 0.0049], [0.0000, 0.0000, 0.4959], [0.5000, 0.5000, 0.3322]]
}

No. 3
{
  "formula": "LiCd2Pt",
  "functional": "PBE",
  "state": "relaxed",
  "delta_e_f_kj_per_mol_fu": -84,
  "volume_a3_per_atom": 18.17,
  "lattice_angstrom": [[-5.7796, -7.6017, -0.1931], [-3.3280, -8.9060, 0.9129], [-5.2311, -7.5056, 2.7437]],
  "species": ["Pt", "Cd", "Cd", "Li"],
  "fractional_positions": [[0.7500, 0.7500, 0.7500], [0.4994, 0.4994, 0.4994], [0.0006, 0.0006, 0.0006], [0.2500, 0.2500, 0.2500]]
}

No. 4
{
  "formula": "CeTmGaCu",
  "functional": "PBE",
  "state": "relaxed",
  "delta_e_f_kj_per_mol_fu": -124,
  "volume_a3_per_atom": 22.32,
  "lattice_angstrom": [[5.0166, 0.0000, 0.0000], [2.5083, 4.3445, 0.0000], [2.5083, 1.4482, 4.0960]],
  "species": ["Ga", "Ce", "Tm", "Cu"],
  "fractional_positions": [[0.0000, 0.0000, 0.0000], [0.2500, 0.2500, 0.2500], [0.7500, 0.7500, 0.7500], [0.5000, 0.5000, 0.5000]]
}

No. 5
{
  "formula": "DyCd11Au",
  "functional": "PBE",
  "state": "relaxed",
  "delta_e_f_kj_per_mol_fu": -135,
  "volume_a3_per_atom": 22.34,
  "lattice_angstrom": [[5.4287, 0.0289, 2.2617], [2.6858, 7.0300, 1.1189], [0.0068, 0.0144, 7.6298]],
  "species": ["Cd", "Cd", "Cd", "Cd", "Cd", "Cd", "Cd", "Cd", "Cd", "Cd", "Cd", "Au", "Dy"],
  "fractional_positions": [[0.6450, 0.3525, 0.3468], [0.9918, 0.3525, 0.6532], [0.0000, 0.0000, 0.5000], [0.5034, 0.2130, 0.7899], [0.3550, 0.6475, 0.6532], [0.5000, 0.0000, 0.5000], [0.0000, 0.5000, 0.0000], [0.7066, 0.7870, 0.7899], [0.2934, 0.2130, 0.2101], [0.4966, 0.7870, 0.2101], [0.0082, 0.6475, 0.3468], [0.5000, 0.5000, 0.0000], [0.0000, 0.0000, 0.0000]]
}

No. 6
{
  "formula": "PrGa3Pd",
  "functional": "PBE",
  "state": "relaxed",
  "delta_e_f_kj_per_mol_fu": -177,
  "volume_a3_per_atom": 22.54,
  "lattice_angstrom": [[-4.6524, 0.9969, -0.2793], [-1.2255, -5.8435, -0.4434], [-0.5741, -0.4764, 7.8647]],
  "species": ["Ga", "Ga", "Ga", "Ga", "Ga", "Ga", "Pd", "Pd", "Pr", "Pr"],
  "fractional_positions": [[0.0000, 0.7487, 0.2507], [0.0000, 0.2487, 0.2493], [0.5000, 0.5000, 0.0000], [0.5000, 0.0000, 0.5000], [0.0000, 0.7513, 0.7507], [0.0000, 0.2513, 0.7493], [0.0000, 0.5000, 0.0000], [0.0000, 0.0000, 0.5000], [0.5000, 0.5000, 0.5000], [0.5000, 0.0000, 0.0000]]
}

No. 7
{
  "formula": "BaAs2CS",
  "functional": "PBE",
  "state": "relaxed",
  "volume_a3_per_atom": 27.68,
  "formation_energy_uncorrected_ev_per_atom": 1.044,
  "lattice_angstrom": [[4.7827, 0.0000, 0.0000], [0.0000, 6.0509, 0.0000], [0.0000, 0.0000, 4.7827]],
  "species": ["Ba", "As", "As", "C", "S"],
  "fractional_positions": [[0.0000, 0.5000, 0.0000], [0.5000, 0.0000, 0.0000], [0.0000, 0.0000, 0.5000], [0.5000, 0.5000, 0.5000], [0.0000, 0.0000, 0.0000]]
}

No. 8
{
  "formula": "BaY2Cu",
  "functional": "PBE",
  "state": "relaxed",
  "delta_e_f_kj_per_mol_fu": 238,
  "volume_a3_per_atom": 45.93,
  "lattice_angstrom": [[6.7374, 0.0000, 0.0000], [0.0000, 6.7374, 0.0000], [3.3687, 3.3687, 8.0942]],
  "species": ["Cu", "Cu", "Y", "Y", "Y", "Y", "Ba", "Ba"],
  "fractional_positions": [[0.5000, 0.5000, 0.0000], [0.2500, 0.7500, 0.5000], [0.3750, 0.1250, 0.2500], [0.3750, 0.6250, 0.7500], [0.8750, 0.6250, 0.7500], [0.3750, 0.6250, 0.2500], [0.0000, 0.0000, 0.0000], [0.7500, 0.2500, 0.5000]]
}